# 1
First-principles (PBE) data for a geometry-optimized Ce7GePb3 structure, as listed in Alexandria via LeMat-Bulk.

Computed properties:
SG: Immm, No. 71
Formation enthalpy at 0 K in eV/atom: -0.289

Unit cell a=8.137 b=8.137 c=8.137 alpha=136.51 beta=111.31 gamma=84.90
Fractional positions:
Ce1 0.000 0.000 0.000
Ce2 0.102 0.747 0.355
Ce3 0.335 0.500 0.835
Ce4 0.391 0.747 0.645
Ce5 0.609 0.253 0.355
Ce6 0.665 0.500 0.165
Ce7 0.898 0.253 0.645
Ge1 0.000 0.500 0.500
Pb1 0.262 0.262 0.000
Pb2 0.500 0.000 0.500
Pb3 0.738 0.738 0.000

***

# 2
First-principles (PBE) data for a geometry-optimized CeGe2Pd7Pb2 structure, as listed in Alexandria via LeMat-Bulk.

Computed properties:
SG: C2/m, No. 12
Formation enthalpy at 0 K in eV/atom: -0.419

Unit cell a=4.083 b=4.083 c=14.487 alpha=94.92 beta=94.92 gamma=89.56
Fractional positions:
Ce1 0.000 0.000 0.000
Ge1 0.419 0.419 0.747
Ge2 0.581 0.581 0.253
Pd1 0.049 0.548 0.150
Pd2 0.377 0.377 0.576
Pd3 0.452 0.951 0.850
Pd4 0.500 0.500 0.000
Pd5 0.548 0.049 0.150
Pd6 0.623 0.623 0.424
Pd7 0.951 0.452 0.850
Pb1 0.113 0.113 0.386
Pb2 0.887 0.887 0.614

***

# 3
First-principles (PBE) data for a geometry-optimized Ce2Ge3Pd4Pb structure, as listed in Alexandria via LeMat-Bulk.

Computed properties:
SG: P-4m2, No. 115
Formation enthalpy at 0 K in eV/atom: -0.672

Unit cell a=4.316 b=4.316 c=10.964 alpha=90.00 beta=90.00 gamma=90.00
Fractional positions:
Ce1 0.000 0.500 0.233
Ce2 0.500 0.000 0.767
Ge1 0.000 0.500 0.877
Ge2 0.500 0.000 0.123
Ge3 0.500 0.500 0.500
Pd1 0.000 0.000 0.000
Pd2 0.000 0.500 0.655
Pd3 0.500 0.000 0.345
Pd4 0.500 0.500 0.000
Pb1 0.000 0.000 0.500

***

# 4
First-principles (PBE) data for a geometry-optimized CeGe2Pt7Pb2 structure, as listed in Alexandria via LeMat-Bulk.

Computed properties:
SG: C2/m, No. 12
Formation enthalpy at 0 K in eV/atom: -0.524

Unit cell a=4.010 b=4.010 c=16.035 alpha=97.14 beta=97.14 gamma=89.98
Fractional positions:
Ce1 0.000 0.000 0.000
Ge1 0.382 0.382 0.762
Ge2 0.618 0.618 0.238
Pt1 0.070 0.570 0.139
Pt2 0.305 0.305 0.609
Pt3 0.430 0.930 0.861
Pt4 0.500 0.500 0.000
Pt5 0.570 0.070 0.139
Pt6 0.695 0.695 0.391
Pt7 0.930 0.430 0.861
Pb1 0.211 0.211 0.423
Pb2 0.789 0.789 0.577

***

# 5
First-principles (PBE) data for a geometry-optimized Ce2Ge3Pt4Pb structure, as listed in Alexandria via LeMat-Bulk.

Computed properties:
SG: P-4m2, No. 115
Formation enthalpy at 0 K in eV/atom: -0.764

Unit cell a=4.325 b=4.325 c=10.973 alpha=90.00 beta=90.00 gamma=90.00
Fractional positions:
Ce1 0.000 0.500 0.233
Ce2 0.500 0.000 0.767
Ge1 0.000 0.500 0.878
Ge2 0.500 0.000 0.122
Ge3 0.500 0.500 0.500
Pt1 0.000 0.000 0.000
Pt2 0.000 0.500 0.657
Pt3 0.500 0.000 0.343
Pt4 0.500 0.500 0.000
Pb1 0.000 0.000 0.500

***

# 6
First-principles (PBE) data for a geometry-optimized CePuGePb structure, as listed in Alexandria via LeMat-Bulk.

Computed properties:
SG: P4mm, No. 99
Formation enthalpy at 0 K in eV/atom: -0.416

Unit cell a=3.426 b=3.426 c=8.753 alpha=90.00 beta=90.00 gamma=90.00
Fractional positions:
Ce1 0.000 0.000 0.000
Pu1 0.000 0.000 0.562
Ge1 0.500 0.500 0.777
Pb1 0.500 0.500 0.282